(1)
The following is a DFT calculation (PBE) of a geometry-optimized TmPu2UN4 structure.

abc: 3.4595 5.9362 5.9936
angles: 109.59 90.00 90.00
Closest atoms and distances in Å follow each position.
Sites, in units of the cell vectors:
Tm: 0.5000 0.5000 0.0000  6 N 2.39-2.43
Pu: 0.5000 0.0000 0.5000  6 N 2.46-2.49
Pu: 0.0000 0.5000 0.5000  6 N 2.53-2.56
U: 0.0000 0.0000 0.0000  6 N 2.31-2.36
N: 0.5000 0.2370 0.2277  2 U 2.36, 1 Tm 2.39, 3 Pu 2.49-2.53
N: 0.5000 0.7630 0.7723  2 U 2.36, 1 Tm 2.39, 3 Pu 2.49-2.53
N: 0.0000 0.2403 0.7658  1 U 2.31, 2 Tm 2.43, 3 Pu 2.46-2.56
N: 0.0000 0.7597 0.2342  1 U 2.31, 2 Tm 2.43, 3 Pu 2.46-2.56

Computed properties:
crystal system	monoclinic
electronic total energy	-11.12	eV per atom
symmetry	P2/m, No. 10


(2)
The following is a DFT calculation (PBE) of a geometry-optimized Y2TmPuN4 structure.

abc: 3.4642 5.9723 5.9765
angles: 109.36 90.00 90.00
Closest atoms and distances in Å follow each position.
Sites, in units of the cell vectors:
Y: 0.5000 0.0000 0.5000  6 N 2.46-2.47
Y: 0.0000 0.5000 0.5000  6 N 2.48
Tm: 0.5000 0.5000 0.0000  6 N 2.42-2.43
Pu: 0.0000 0.0000 0.0000  6 N 2.40-2.41
N: 0.5000 0.2455 0.2412  2 Pu 2.41, 1 Tm 2.42, 3 Y 2.46-2.48
N: 0.5000 0.7545 0.7588  2 Pu 2.41, 1 Tm 2.42, 3 Y 2.46-2.48
N: 0.0000 0.2500 0.7578  1 Pu 2.40, 2 Tm 2.43, 3 Y 2.47-2.48
N: 0.0000 0.7500 0.2422  1 Pu 2.40, 2 Tm 2.43, 3 Y 2.47-2.48

Computed properties:
crystal system	monoclinic
electronic total energy	-9.73	eV per atom
symmetry	P2/m, No. 10


(3)
The following is a DFT calculation (PBE) of a geometry-optimized YTmPu2N4 structure.

abc: 3.4692 6.0116 5.9690
angles: 109.59 90.00 90.00
Closest atoms and distances in Å follow each position.
Sites, in units of the cell vectors:
Y: 0.0000 0.0000 0.0000  6 N 2.48
Tm: 0.5000 0.5000 0.0000  6 N 2.45
Pu: 0.5000 0.0000 0.5000  6 N 2.45
Pu: 0.0000 0.5000 0.5000  6 N 2.42
N: 0.5000 0.2559 0.2563  3 Pu 2.42-2.45, 1 Tm 2.45, 2 Y 2.48
N: 0.5000 0.7441 0.7437  3 Pu 2.42-2.45, 1 Tm 2.45, 2 Y 2.48
N: 0.0000 0.2526 0.7466  3 Pu 2.42-2.45, 2 Tm 2.45, 1 Y 2.48
N: 0.0000 0.7474 0.2534  3 Pu 2.42-2.45, 2 Tm 2.45, 1 Y 2.48

Computed properties:
crystal system	monoclinic
electronic total energy	-10.61	eV per atom
symmetry	P2/m, No. 10


(4)
The following is a DFT calculation (PBE) of a geometry-optimized Tm2PuZrN4 structure.

abc: 3.3818 5.8547 5.8413
angles: 109.42 90.00 90.00
Closest atoms and distances in Å follow each position.
Sites, in units of the cell vectors:
Tm: 0.5000 0.0000 0.5000  6 N 2.38-2.39
Tm: 0.0000 0.5000 0.5000  6 N 2.43-2.44
Pu: 0.5000 0.5000 0.0000  6 N 2.39
Zr: 0.0000 0.0000 0.0000  6 N 2.34-2.35
N: 0.5000 0.2414 0.2421  2 Zr 2.35, 3 Tm 2.38-2.43, 1 Pu 2.39
N: 0.5000 0.7586 0.7579  2 Zr 2.35, 3 Tm 2.38-2.43, 1 Pu 2.39
N: 0.0000 0.2450 0.7553  1 Zr 2.34, 2 Pu 2.39, 3 Tm 2.39-2.44
N: 0.0000 0.7550 0.2447  1 Zr 2.34, 2 Pu 2.39, 3 Tm 2.39-2.44

Computed properties:
crystal system	monoclinic
electronic total energy	-9.79	eV per atom
symmetry	P2/m, No. 10


(5)
The following is a DFT calculation (PBE) of a geometry-optimized TmPu2ZrN4 structure.

abc: 3.3983 5.8714 5.9132
angles: 109.73 90.00 90.00
Closest atoms and distances in Å follow each position.
Sites, in units of the cell vectors:
Tm: 0.5000 0.5000 0.0000  6 N 2.39-2.40
Pu: 0.5000 0.0000 0.5000  6 N 2.40-2.43
Pu: 0.0000 0.5000 0.5000  6 N 2.45-2.49
Zr: 0.0000 0.0000 0.0000  6 N 2.33-2.35
N: 0.5000 0.2421 0.2379  2 Zr 2.35, 1 Tm 2.39, 3 Pu 2.43-2.45
N: 0.5000 0.7579 0.7621  2 Zr 2.35, 1 Tm 2.39, 3 Pu 2.43-2.45
N: 0.0000 0.2410 0.7584  1 Zr 2.33, 3 Pu 2.40-2.49, 2 Tm 2.40
N: 0.0000 0.7590 0.2416  1 Zr 2.33, 3 Pu 2.40-2.49, 2 Tm 2.40

Computed properties:
crystal system	monoclinic
electronic total energy	-10.87	eV per atom
symmetry	P2/m, No. 10


(6)
The following is a DFT calculation (PBE) of a geometry-optimized TmPuZr2N4 structure.

abc: 3.3402 5.8150 5.7690
angles: 70.70 90.00 90.00
Closest atoms and distances in Å follow each position.
Sites, in units of the cell vectors:
Tm: 0.0000 0.5000 0.5000  6 N 2.39-2.40
Pu: 0.5000 0.5000 0.0000  6 N 2.41
Zr: 0.0000 0.0000 0.0000  6 N 2.33
Zr: 0.5000 0.0000 0.5000  6 N 2.31-2.32
N: 0.0000 0.7622 0.7443  3 Zr 2.32-2.33, 1 Tm 2.39, 2 Pu 2.41
N: 0.0000 0.2378 0.2557  3 Zr 2.32-2.33, 1 Tm 2.39, 2 Pu 2.41
N: 0.5000 0.7622 0.2481  3 Zr 2.31-2.33, 2 Tm 2.40, 1 Pu 2.41
N: 0.5000 0.2378 0.7519  3 Zr 2.31-2.33, 2 Tm 2.40, 1 Pu 2.41

Computed properties:
crystal system	monoclinic
electronic total energy	-10.30	eV per atom
symmetry	P2/m, No. 10


(7)
The following is a DFT calculation (PBE) of a geometry-optimized TmPu3Zr2N6 structure.

abc: 5.8655 5.8655 5.8786
angles: 99.58 99.58 119.95
Closest atoms and distances in Å follow each position.
Sites, in units of the cell vectors:
Tm: 0.0000 0.0000 0.0000  6 N 2.40
Pu: 0.1662 0.8338 0.5000  6 N 2.40-2.45
Pu: 0.8338 0.1662 0.5000  6 N 2.40-2.45
Pu: 0.5000 0.5000 0.5000  6 N 2.40-2.45
Zr: 0.3334 0.6666 0.0000  6 N 2.34-2.35
Zr: 0.6666 0.3334 0.0000  6 N 2.34-2.35
N: 0.9203 0.5797 0.7610  2 Zr 2.35, 1 Tm 2.40, 3 Pu 2.40-2.45
N: 0.7383 0.7383 0.2376  2 Zr 2.34, 1 Tm 2.40, 3 Pu 2.40-2.45
N: 0.0797 0.4203 0.2390  2 Zr 2.35, 1 Tm 2.40, 3 Pu 2.40-2.45
N: 0.5797 0.9203 0.7610  2 Zr 2.35, 1 Tm 2.40, 3 Pu 2.40-2.45
N: 0.2617 0.2617 0.7624  2 Zr 2.34, 1 Tm 2.40, 3 Pu 2.40-2.45
N: 0.4203 0.0797 0.2390  2 Zr 2.35, 1 Tm 2.40, 3 Pu 2.40-2.45

Computed properties:
crystal system	monoclinic
electronic total energy	-11.06	eV per atom
symmetry	C2/m, No. 12


(8)
The following is a DFT calculation (PBE) of a geometry-optimized Pu2UN3 structure.

abc: 3.4824 4.9075 6.0068
angles: 114.11 106.85 90.00
Closest atoms and distances in Å follow each position.
Sites, in units of the cell vectors:
Pu: 0.6688 0.1688 0.3376  6 N 2.46-2.52
Pu: 0.3312 0.8312 0.6624  6 N 2.46-2.52
U: 0.0000 0.5000 0.0000  6 N 2.38-2.45
N: 0.3443 0.3443 0.6886  2 U 2.38, 4 Pu 2.46-2.52
N: 0.0000 0.0000 0.0000  2 U 2.45, 4 Pu 2.47
N: 0.6557 0.6557 0.3114  2 U 2.38, 4 Pu 2.46-2.52

Computed properties:
crystal system	orthorhombic
electronic total energy	-12.10	eV per atom
symmetry	Immm, No. 71